# PBE-GGA Na2CuBr6, relaxed
# - ΔE_f (raw) (eV/atom) = -0.7204
# - VASP energy (eV per cell) = -46.51
data_Na2CuBr6
_chemical_formula_sum 'Na4 Cu2 Br12'
_cell_length_a 7.801
_cell_length_b 7.818
_cell_length_c 9.836
_cell_angle_alpha 79.98
_cell_angle_beta 80.53
_cell_angle_gamma 88.54
_space_group_name_H-M_alt 'P 1'
_space_group_IT_number 1
loop_
_space_group_symop_operation_xyz
'x,y,z'
loop_
_atom_site_label
_atom_site_type_symbol
_atom_site_fract_x
_atom_site_fract_y
_atom_site_fract_z
Na1 Na 0.040 0.054 0.252
Na2 Na 0.447 0.456 0.746
Na3 Na 0.553 0.544 0.254
Na4 Na 0.960 0.946 0.748
Cu1 Cu 0.000 0.500 0.500
Cu2 Cu 0.500 0.000 0.000
Br1 Br 0.115 0.313 0.681
Br2 Br 0.193 0.374 0.332
Br3 Br 0.258 0.754 0.840
Br4 Br 0.287 0.207 0.998
Br5 Br 0.314 0.813 0.563
Br6 Br 0.375 0.876 0.290
Br7 Br 0.625 0.124 0.710
Br8 Br 0.686 0.187 0.437
Br9 Br 0.713 0.793 0.002
Br10 Br 0.742 0.246 0.160
Br11 Br 0.807 0.626 0.668
Br12 Br 0.885 0.687 0.319